[1]
An optimized crystal structure of BaCuSCl2, computed with PBE.

Its crystal system is tetragonal. For the magnetic moment, the calculation gives 0.00 μB per cell. Its uncorrected formation energy is -1.28 eV per atom. Its electronic total energy is -0.2972 Ry per atom. The calculation puts the energy above the most stable polymorph in this dataset at 0.0 meV/atom.

It has space group P4/mmm (No. 123), with a = 4.8690 Å, b = 4.8690 Å, c = 4.8238 Å, α = 90.00°, β = 90.00° and γ = 90.00°. The distinct sites, in fractional coordinates, are Ba at (0.0000, 0.0000, 0.0000), Cu at (0.5000, 0.5000, 0.5000), S at (0.5000, 0.5000, 0.0000) and Cl at (0.0000, 0.5000, 0.5000).

[2]
An optimized crystal structure of BaCuS2Cl, computed with PBE.

Its crystal system is tetragonal. For the magnetic moment, the calculation gives 0.00 μB per cell. Its uncorrected formation energy is -1.00 eV per atom. Its electronic total energy is -0.3106 Ry per atom. The calculation puts the energy above the most stable polymorph in this dataset at 0.0 meV/atom.

It has space group P4/mmm (No. 123), with a = 4.5832 Å, b = 4.5832 Å, c = 5.4265 Å, α = 90.00°, β = 90.00° and γ = 90.00°. The distinct sites, in fractional coordinates, are Ba at (0.0000, 0.0000, 0.0000), Cu at (0.5000, 0.5000, 0.5000), S at (0.0000, 0.5000, 0.5000) and Cl at (0.5000, 0.5000, 0.0000).